Material: Ba2TeAs
Method: DFT, PBE
State: relaxed Values from VASP.

Structure (Quantum ESPRESSO input):
```
&SYSTEM
  ibrav = 0, nat = 4, ntyp = 3
/
ATOMIC_SPECIES
Ba 137.33 Ba.upf
Te 127.60 Te.upf
As 74.92 As.upf
ATOMIC_POSITIONS angstrom
Ba 0.000 0.000 0.000
Ba 0.000 2.412 3.147
Te 2.412 0.000 3.147
As 0.000 0.000 6.294
CELL_PARAMETERS angstrom
-2.412 2.412 6.294
2.412 -2.412 6.294
2.412 2.412 -6.294
```

## Properties
energy: -3.935 eV per atom
formation energy without anion corrections: -1.03 eV per atom
space group: I-4m2
spin magnetization: 0.0 μB/cell


Material: In2TcMo
Method: DFT, PBE
State: relaxed Values from VASP.

Structure (Quantum ESPRESSO input):
```
&SYSTEM
  ibrav = 0, nat = 4, ntyp = 3
/
ATOMIC_SPECIES
In 114.82 In.upf
Tc 98.00 Tc.upf
Mo 95.94 Mo.upf
ATOMIC_POSITIONS angstrom
In 0.000 0.000 0.000
In 0.000 2.116 1.996
Tc 0.000 0.000 3.991
Mo 2.116 0.000 1.996
CELL_PARAMETERS angstrom
-2.116 2.116 3.991
2.116 -2.116 3.991
2.116 2.116 -3.991
```

## Properties
energy: -6.244 eV per atom
DFT formation energy: 0.42 eV per atom
space group: I-4m2
spin magnetization: 0.0 μB/cell


Material: LiGe2SbMo
Method: DFT, PBE
State: relaxed Values from VASP.

Structure (Quantum ESPRESSO input):
```
&SYSTEM
  ibrav = 0, nat = 5, ntyp = 4
/
ATOMIC_SPECIES
Li 6.94 Li.upf
Ge 72.64 Ge.upf
Sb 121.76 Sb.upf
Mo 95.94 Mo.upf
ATOMIC_POSITIONS angstrom
Li 0.000 0.000 0.000
Ge 0.000 2.703 2.610
Ge 2.703 0.000 2.610
Sb 2.703 2.703 2.610
Mo 2.703 2.703 0.000
CELL_PARAMETERS angstrom
5.406 0.000 0.000
0.000 5.406 0.000
0.000 0.000 5.219
```

## Properties
energy: -4.073 eV per atom
formation energy without anion corrections: 1.15 eV per atom
space group: P4/mmm
spin magnetization: 2.9 μB/cell


Material: Ca2P3Pt12Au
Method: DFT, PBE
State: relaxed Values from VASP.

Structure (Quantum ESPRESSO input):
```
&SYSTEM
  ibrav = 0, nat = 18, ntyp = 4
/
ATOMIC_SPECIES
Ca 40.08 Ca.upf
P 30.97 P.upf
Pt 195.08 Pt.upf
Au 196.97 Au.upf
ATOMIC_POSITIONS angstrom
Ca 0.000 0.000 1.846
Ca 0.000 0.000 15.999
P -2.070 -1.195 5.948
P -2.070 1.195 11.896
P 0.000 2.390 5.948
Pt -2.155 -1.244 8.200
Pt 0.000 -2.122 5.444
Pt -1.838 1.061 5.444
Pt 0.000 -2.488 9.645
Pt -2.155 1.244 9.645
Pt -1.838 -1.061 12.401
Pt 1.838 1.061 5.444
Pt 2.155 -1.244 8.200
Pt 0.000 2.488 8.200
Pt 1.838 -1.061 12.401
Pt 0.000 2.122 12.401
Pt 2.155 1.244 9.645
Au 0.000 0.000 8.922
CELL_PARAMETERS angstrom
4.140 2.390 5.948
-4.140 2.390 5.948
0.000 -4.781 5.948
```

## Properties
energy: -5.606 eV per atom
DFT formation energy: -0.27 eV per atom
space group: R-3m
spin magnetization: 0.0 μB/cell


Material: HgBi3Pb5
Method: DFT, PBE
State: relaxed Values from VASP.

Structure (Quantum ESPRESSO input):
```
&SYSTEM
  ibrav = 0, nat = 18, ntyp = 3
/
ATOMIC_SPECIES
Hg 200.59 Hg.upf
Bi 208.98 Bi.upf
Pb 207.20 Pb.upf
ATOMIC_POSITIONS angstrom
Hg 0.000 0.000 0.000
Hg 0.000 3.398 0.000
Bi -1.788 1.699 3.110
Bi 6.733 5.097 5.461
Bi -1.348 1.699 8.570
Bi 1.795 5.097 3.108
Bi 3.150 1.699 5.463
Bi 6.293 5.097 0.000
Pb 6.473 1.699 5.914
Pb -1.528 5.097 2.657
Pb 1.535 1.699 2.659
Pb -1.871 5.097 8.570
Pb 0.005 6.793 5.715
Pb 0.005 3.401 5.715
Pb 4.940 0.003 2.855
Pb 4.940 3.395 2.855
Pb 6.816 1.699 0.001
Pb 3.410 5.097 5.911
CELL_PARAMETERS angstrom
9.874 0.000 0.000
0.000 6.796 0.000
-4.929 0.000 8.571
```

## Properties
energy: -3.384 eV per atom
DFT formation energy: 0.00 eV per atom
space group: P2_1/m
spin magnetization: 0.0 μB/cell


Material: Pm2ZrCd
Method: DFT, PBE
State: relaxed Values from VASP.

Structure (Quantum ESPRESSO input):
```
&SYSTEM
  ibrav = 0, nat = 4, ntyp = 3
/
ATOMIC_SPECIES
Pm 145.00 Pm.upf
Zr 91.22 Zr.upf
Cd 112.41 Cd.upf
ATOMIC_POSITIONS angstrom
Pm 0.000 0.000 2.290
Pm 0.000 0.000 6.999
Zr 1.738 1.738 4.645
Cd 1.738 1.738 0.000
CELL_PARAMETERS angstrom
3.476 0.000 0.000
0.000 3.476 0.000
0.000 0.000 9.289
```

## Properties
energy: -4.818 eV per atom
DFT formation energy: -0.08 eV per atom
space group: P4/mmm
spin magnetization: 0.0 μB/cell


Material: V2Ru3
Method: DFT, PBE
State: relaxed Values from VASP.

Structure (Quantum ESPRESSO input):
```
&SYSTEM
  ibrav = 0, nat = 5, ntyp = 2
/
ATOMIC_SPECIES
V 50.94 V.upf
Ru 101.07 Ru.upf
ATOMIC_POSITIONS angstrom
V 0.000 0.000 1.575
V 0.000 0.000 13.847
Ru 0.000 0.000 4.834
Ru 0.000 0.000 7.711
Ru 0.000 0.000 10.588
CELL_PARAMETERS angstrom
-1.501 1.501 7.711
1.501 -1.501 7.711
1.501 1.501 -7.711
```

## Properties
energy: -9.389 eV per atom
DFT formation energy: -0.18 eV per atom
space group: I4/mmm
spin magnetization: 0.0 μB/cell


Material: BaCaTe2
Method: DFT, PBE
State: relaxed Values from VASP.

Structure (Quantum ESPRESSO input):
```
&SYSTEM
  ibrav = 0, nat = 4, ntyp = 3
/
ATOMIC_SPECIES
Ba 137.33 Ba.upf
Ca 40.08 Ca.upf
Te 127.60 Te.upf
ATOMIC_POSITIONS angstrom
Ba 0.000 0.000 0.000
Ca 2.345 0.000 3.457
Te 0.000 0.000 6.913
Te 0.000 2.345 3.457
CELL_PARAMETERS angstrom
-2.345 2.345 6.913
2.345 -2.345 6.913
2.345 2.345 -6.913
```

## Properties
energy: -3.855 eV per atom
formation energy without anion corrections: -1.30 eV per atom
space group: I-4m2
spin magnetization: 0.0 μB/cell


Material: NaSe2
Method: DFT, PBE
State: relaxed Values from VASP.

Structure (Quantum ESPRESSO input):
```
&SYSTEM
  ibrav = 0, nat = 6, ntyp = 2
/
ATOMIC_SPECIES
Na 22.99 Na.upf
Se 78.96 Se.upf
ATOMIC_POSITIONS angstrom
Na 0.051 0.931 1.563
Na 2.509 2.937 4.226
Se -0.877 0.483 4.399
Se 1.158 3.716 1.073
Se 1.402 0.152 4.716
Se 3.438 3.385 1.391
CELL_PARAMETERS angstrom
5.373 0.000 0.000
-0.693 5.336 0.000
-2.119 -1.469 5.789
```

## Properties
energy: -3.243 eV per atom
formation energy without anion corrections: -0.48 eV per atom
space group: P-1
spin magnetization: 0.0 μB/cell


Material: AlSi2HgB
Method: DFT, PBE
State: relaxed Values from VASP.

Structure (Quantum ESPRESSO input):
```
&SYSTEM
  ibrav = 0, nat = 5, ntyp = 4
/
ATOMIC_SPECIES
Al 26.98 Al.upf
Si 28.09 Si.upf
Hg 200.59 Hg.upf
B 10.81 B.upf
ATOMIC_POSITIONS angstrom
Al 0.000 0.000 0.000
Si 0.000 2.548 2.459
Si 2.548 0.000 2.459
Hg 0.000 0.000 2.459
B 2.548 2.548 0.000
CELL_PARAMETERS angstrom
5.096 0.000 0.000
0.000 5.096 0.000
0.000 0.000 4.918
```

## Properties
energy: -2.338 eV per atom
formation energy without anion corrections: 1.98 eV per atom
space group: P4/mmm
spin magnetization: 0.0 μB/cell


Material: Pm3LuNi
Method: DFT, PBE
State: relaxed Values from VASP.

Structure (Quantum ESPRESSO input):
```
&SYSTEM
  ibrav = 0, nat = 5, ntyp = 3
/
ATOMIC_SPECIES
Pm 145.00 Pm.upf
Lu 174.97 Lu.upf
Ni 58.69 Ni.upf
ATOMIC_POSITIONS angstrom
Pm 0.000 0.000 2.710
Pm 0.000 2.710 0.000
Pm 2.710 0.000 0.000
Lu 2.710 2.710 2.710
Ni 0.000 0.000 0.000
CELL_PARAMETERS angstrom
5.419 0.000 0.000
0.000 5.419 0.000
0.000 0.000 5.419
```

## Properties
energy: -4.843 eV per atom
DFT formation energy: 0.07 eV per atom
space group: Pm-3m
spin magnetization: 1.3 μB/cell


Material: CdFeBr2
Method: DFT, PBE
State: relaxed Values from VASP.

Structure (Quantum ESPRESSO input):
```
&SYSTEM
  ibrav = 0, nat = 4, ntyp = 3
/
ATOMIC_SPECIES
Cd 112.41 Cd.upf
Fe 55.84 Fe.upf
Br 79.90 Br.upf
ATOMIC_POSITIONS angstrom
Cd 0.000 0.000 0.000
Fe 1.994 0.000 3.391
Br 0.000 0.000 6.783
Br 0.000 1.994 3.391
CELL_PARAMETERS angstrom
-1.994 1.994 6.783
1.994 -1.994 6.783
1.994 1.994 -6.783
```

## Properties
energy: -2.898 eV per atom
formation energy without anion corrections: 0.28 eV per atom
space group: I-4m2
spin magnetization: 3.4 μB/cell


Material: BeAgBr3
Method: DFT, PBE
State: relaxed Values from VASP.

Structure (Quantum ESPRESSO input):
```
&SYSTEM
  ibrav = 0, nat = 5, ntyp = 3
/
ATOMIC_SPECIES
Be 9.01 Be.upf
Ag 107.87 Ag.upf
Br 79.90 Br.upf
ATOMIC_POSITIONS angstrom
Be 0.000 0.000 0.000
Ag 2.450 2.450 2.450
Br 0.000 0.000 2.450
Br 0.000 2.450 0.000
Br 2.450 0.000 0.000
CELL_PARAMETERS angstrom
4.900 0.000 0.000
0.000 4.900 0.000
0.000 0.000 4.900
```

## Properties
energy: -2.541 eV per atom
formation energy without anion corrections: -0.22 eV per atom
space group: Pm-3m
spin magnetization: 0.0 μB/cell


Material: AcLa3Er8
Method: DFT, PBE
State: relaxed Values from VASP.

Structure (Quantum ESPRESSO input):
```
&SYSTEM
  ibrav = 0, nat = 12, ntyp = 3
/
ATOMIC_SPECIES
Ac 227.00 Ac.upf
La 138.91 La.upf
Er 167.26 Er.upf
ATOMIC_POSITIONS angstrom
Ac 0.000 0.000 0.000
La 5.521 2.848 -0.971
La 5.521 0.000 3.165
La 0.000 2.910 2.197
Er 3.660 0.000 0.050
Er 7.382 0.000 0.050
Er 1.885 2.899 -1.034
Er 3.636 -2.858 2.135
Er 3.636 5.758 0.045
Er 1.885 0.000 3.213
Er 1.885 8.616 -1.034
Er 3.636 2.858 2.135
CELL_PARAMETERS angstrom
-5.521 5.758 3.169
5.521 -5.758 3.169
5.521 5.758 -3.169
```

## Properties
energy: -4.576 eV per atom
DFT formation energy: 0.04 eV per atom
space group: Imm2
spin magnetization: 0.0 μB/cell


Material: B
Method: DFT, PBE
State: relaxed Values from VASP.

Structure (Quantum ESPRESSO input):
```
&SYSTEM
  ibrav = 0, nat = 2, ntyp = 1
/
ATOMIC_SPECIES
B 10.81 B.upf
ATOMIC_POSITIONS angstrom
B 2.247 1.123 0.199
B 0.000 1.123 0.598
CELL_PARAMETERS angstrom
-2.247 2.247 0.797
2.247 -2.247 0.797
2.247 2.247 -0.797
```

## Properties
energy: -5.724 eV per atom
DFT formation energy: 0.95 eV per atom
space group: I4_1/amd
spin magnetization: 0.0 μB/cell


Material: Nd4Mg3Ag
Method: DFT, PBE
State: relaxed Values from VASP.

Structure (Quantum ESPRESSO input):
```
&SYSTEM
  ibrav = 0, nat = 8, ntyp = 3
/
ATOMIC_SPECIES
Nd 144.24 Nd.upf
Mg 24.30 Mg.upf
Ag 107.87 Ag.upf
ATOMIC_POSITIONS angstrom
Nd 0.000 0.000 1.816
Nd 0.000 0.000 5.670
Nd 0.000 0.000 9.579
Nd 0.000 0.000 13.433
Mg 1.936 1.936 3.775
Mg 1.936 1.936 7.625
Mg 1.936 1.936 11.474
Ag 1.936 1.936 0.000
CELL_PARAMETERS angstrom
3.872 0.000 0.000
0.000 3.872 0.000
0.000 0.000 15.249
```

## Properties
energy: -3.483 eV per atom
DFT formation energy: -0.14 eV per atom
space group: P4/mmm
spin magnetization: 0.1 μB/cell


Material: Nb2Zn2H
Method: DFT, PBE
State: relaxed Values from VASP.

Structure (Quantum ESPRESSO input):
```
&SYSTEM
  ibrav = 0, nat = 10, ntyp = 3
/
ATOMIC_SPECIES
Nb 92.91 Nb.upf
Zn 65.41 Zn.upf
H 1.01 H.upf
ATOMIC_POSITIONS angstrom
Nb 0.908 1.852 0.000
Nb 1.852 4.612 0.000
Nb 3.669 0.908 0.000
Nb 4.612 3.669 0.000
Zn 0.888 3.648 2.428
Zn 1.872 0.888 2.428
Zn 3.648 4.632 2.428
Zn 4.632 1.872 2.428
H 0.000 0.000 0.000
H 2.760 2.760 0.000
CELL_PARAMETERS angstrom
5.520 0.000 0.000
0.000 5.520 0.000
0.000 0.000 4.855
```

## Properties
energy: -5.080 eV per atom
space group: P4/mbm
spin magnetization: 0.0 μB/cell


Material: AcUPd4
Method: DFT, PBE
State: relaxed Values from VASP.

Structure (Quantum ESPRESSO input):
```
&SYSTEM
  ibrav = 0, nat = 6, ntyp = 3
/
ATOMIC_SPECIES
Ac 227.00 Ac.upf
U 238.03 U.upf
Pd 106.42 Pd.upf
ATOMIC_POSITIONS angstrom
Ac 0.000 0.000 0.000
U 5.897 5.897 5.897
Pd 2.955 2.955 2.955
Pd 4.908 4.908 2.955
Pd 4.908 2.955 4.908
Pd 2.955 4.908 4.908
CELL_PARAMETERS angstrom
0.000 3.931 3.931
3.931 0.000 3.931
3.931 3.931 0.000
```

## Properties
energy: -6.479 eV per atom
DFT formation energy: -0.45 eV per atom
space group: F-43m
spin magnetization: 3.0 μB/cell


Material: PrY3Se4
Method: DFT, PBE
State: relaxed Values from VASP.

Structure (Quantum ESPRESSO input):
```
&SYSTEM
  ibrav = 0, nat = 8, ntyp = 3
/
ATOMIC_SPECIES
Pr 140.91 Pr.upf
Y 88.91 Y.upf
Se 78.96 Se.upf
ATOMIC_POSITIONS angstrom
Pr 0.000 0.000 0.000
Y 0.000 2.926 2.926
Y 2.926 0.000 2.926
Y 2.926 2.926 0.000
Se 0.000 0.000 2.926
Se 0.000 2.926 0.000
Se 2.926 0.000 0.000
Se 2.926 2.926 2.926
CELL_PARAMETERS angstrom
5.852 0.000 0.000
0.000 5.852 0.000
0.000 0.000 5.852
```

## Properties
energy: -6.521 eV per atom
formation energy without anion corrections: -1.76 eV per atom
space group: Pm-3m
spin magnetization: 0.0 μB/cell


Material: Cs2SnPdSe4
Method: DFT, PBE
State: relaxed Values from VASP.

Structure (Quantum ESPRESSO input):
```
&SYSTEM
  ibrav = 0, nat = 16, ntyp = 4
/
ATOMIC_SPECIES
Cs 132.91 Cs.upf
Sn 118.71 Sn.upf
Pd 106.42 Pd.upf
Se 78.96 Se.upf
ATOMIC_POSITIONS angstrom
Cs 2.719 4.750 1.546
Cs 4.531 7.917 8.441
Cs 2.719 4.750 19.139
Cs 4.531 7.917 26.034
Sn 2.719 4.750 10.342
Sn 4.531 7.917 17.237
Pd 0.906 1.583 3.447
Pd 6.344 11.083 24.132
Se 4.611 4.107 8.690
Se 4.611 5.393 11.995
Se 6.423 8.560 15.584
Se 6.423 7.273 18.890
Se 0.826 5.393 8.690
Se 0.826 4.107 11.995
Se 2.639 7.273 15.584
Se 2.639 8.560 18.890
CELL_PARAMETERS angstrom
0.000 6.333 13.790
3.625 0.000 13.790
3.625 6.333 0.000
```

## Properties
energy: -3.784 eV per atom
formation energy without anion corrections: -0.68 eV per atom
space group: Fddd
spin magnetization: 0.0 μB/cell


Material: KH2ClO
Method: DFT, PBE
State: relaxed Values from VASP.

Structure (Quantum ESPRESSO input):
```
&SYSTEM
  ibrav = 0, nat = 10, ntyp = 4
/
ATOMIC_SPECIES
K 39.10 K.upf
H 1.01 H.upf
Cl 35.45 Cl.upf
O 16.00 O.upf
ATOMIC_POSITIONS angstrom
K 2.002 4.414 5.228
K 2.002 -4.414 1.743
H 2.002 0.781 4.052
H 2.002 0.781 6.405
H 2.002 -0.781 0.566
H 2.002 -0.781 2.919
Cl 2.002 3.758 1.743
Cl 2.002 -3.758 5.228
O 2.002 0.000 0.000
O 2.002 0.000 3.486
CELL_PARAMETERS angstrom
2.002 -5.741 0.000
2.002 5.741 0.000
0.000 0.000 6.971
```

## Properties
energy: -4.045 eV per atom
space group: Cmcm
spin magnetization: 0.0 μB/cell


Material: Nd2CuPd
Method: DFT, PBE
State: relaxed Values from VASP.

Structure (Quantum ESPRESSO input):
```
&SYSTEM
  ibrav = 0, nat = 4, ntyp = 3
/
ATOMIC_SPECIES
Nd 144.24 Nd.upf
Cu 63.55 Cu.upf
Pd 106.42 Pd.upf
ATOMIC_POSITIONS angstrom
Nd 0.000 0.000 0.000
Nd 0.002 0.000 3.543
Cu 5.044 0.000 1.814
Pd 2.525 0.000 1.725
CELL_PARAMETERS angstrom
3.783 -2.179 0.000
3.783 2.179 0.000
-2.516 0.000 6.552
```

## Properties
energy: -5.044 eV per atom
DFT formation energy: -0.34 eV per atom
space group: Cm
spin magnetization: 0.0 μB/cell


Material: Ce4SnGe3Rh12
Method: DFT, PBE
State: relaxed Values from VASP.

Structure (Quantum ESPRESSO input):
```
&SYSTEM
  ibrav = 0, nat = 20, ntyp = 4
/
ATOMIC_SPECIES
Ce 140.12 Ce.upf
Sn 118.71 Sn.upf
Ge 72.64 Ge.upf
Rh 102.91 Rh.upf
ATOMIC_POSITIONS angstrom
Ce 2.333 2.333 -2.333
Ce 2.333 -2.333 2.333
Ce -2.333 2.333 2.333
Ce 2.333 2.333 2.333
Sn 0.000 0.000 0.000
Ge 4.665 0.000 0.000
Ge 0.000 4.665 0.000
Ge 0.000 0.000 4.665
Rh 2.424 0.000 0.000
Rh 6.907 0.000 0.000
Rh 4.665 2.333 0.000
Rh 4.665 0.000 2.333
Rh 0.000 2.424 0.000
Rh 0.000 0.000 2.424
Rh 2.333 4.665 0.000
Rh 2.333 0.000 4.665
Rh 0.000 6.907 0.000
Rh 0.000 0.000 6.907
Rh 0.000 4.665 2.333
Rh 0.000 2.333 4.665
CELL_PARAMETERS angstrom
-4.665 4.665 4.665
4.665 -4.665 4.665
4.665 4.665 -4.665
```

## Properties
energy: -6.695 eV per atom
DFT formation energy: -0.20 eV per atom
space group: Im-3m
spin magnetization: 3.9 μB/cell